ThP: relaxed, PBE.

The structure in POSCAR format:
```
ThP
1.0
-2.8025 0.5880 2.9884
-3.4088 2.2186 -0.7671
-3.6835 -1.8747 -0.2193
P Th
1 1
direct
0.0000 0.0000 0.0000
0.5000 0.5000 0.5000
```

Values from the calculation:
The value obtained for the total energy is -7.966 eV/atom. The total magnetization is 0.000 μB/atom. The symmetry is Fm-3m. The calculated volume comes out at 25.1 Å³/atom.